Dy2PtBr (PBE, optimized geometry); symmetry = R3m, No. 160; total magnetization = 0.0 Bohr magnetons per cell; energy relative to the elements, uncorrected = -119.4 kJ per mole of atoms; energy above the most stable polymorph in this dataset = 28 meV/atom; density of states at the Fermi level = 7.81 states/eV/cell
1.0
4.0945 0.0000 0.0000
-2.0472 3.5459 0.0000
0.0000 0.0000 23.1314
Dy Pt Br
6 3 3
Cartesian
0.0000 0.0000 0.0000
0.0000 0.0000 4.7760
0.0000 2.3639 15.4209
0.0000 2.3639 20.1969
2.0472 1.1820 7.7105
2.0472 1.1820 12.4865
0.0000 0.0000 13.9634
0.0000 2.3639 6.2529
2.0472 1.1820 21.6739
0.0000 0.0000 17.9214
0.0000 2.3639 10.2109
2.0472 1.1820 2.5004

***

Ag2Au (PBE, optimized geometry); symmetry = Imma, No. 74; ΔH_f (0 K) = 0.104 eV/atom; total magnetization = 0.0 Bohr magnetons per cell; energy above the most stable polymorph in this dataset = 142 meV/atom; density of states at the Fermi level = 2.82 states/eV/cell
1.0
2.8726 0.0000 0.0000
0.0000 4.1944 0.0000
0.0000 0.0000 19.8189
Ag Au
8 4
Cartesian
0.0000 1.0486 0.8780
0.0000 1.0486 3.7360
0.0000 3.1458 16.0830
0.0000 3.1458 18.9409
1.4363 1.0486 6.1735
1.4363 1.0486 9.0315
1.4363 3.1458 10.7875
1.4363 3.1458 13.6455
0.0000 1.0486 12.1600
0.0000 3.1458 7.6590
1.4363 1.0486 17.5685
1.4363 3.1458 2.2505

***

CeSmSe2O (PBE, optimized geometry); symmetry = P4/nmm, No. 129; total magnetization = 1.4 Bohr magnetons per cell; energy relative to the elements, uncorrected = -232.6 kJ per mole of atoms; density of states at the Fermi level = 14.07 states/eV/cell
1.0
4.0574 0.0000 0.0000
0.0000 4.0574 0.0000
0.0000 0.0000 14.5711
Ce Sm Se O
2 2 4 2
Cartesian
1.0144 1.0144 1.2106
3.0431 3.0431 13.3605
1.0144 1.0144 9.0577
3.0431 3.0431 5.5134
1.0144 1.0144 5.9342
1.0144 1.0144 11.8502
3.0431 3.0431 2.7208
3.0431 3.0431 8.6369
1.0144 3.0431 0.0000
3.0431 1.0144 0.0000

***

NdSm4Sn4 (PBE, optimized geometry); symmetry = P4_2/n, No. 86; ΔH_f (0 K) = -0.456 eV/atom; total magnetization = 0.0 Bohr magnetons per cell; density of states at the Fermi level = 21.82 states/eV/cell
1.0
9.9236 0.0000 0.0000
0.0000 9.9236 0.0000
0.0000 0.0000 6.2924
Nd Sm Sn
2 8 8
Cartesian
2.4809 2.4809 1.5731
7.4427 7.4427 4.7193
0.8121 6.4924 0.8525
1.5306 9.1116 3.9988
3.4312 5.7739 3.9988
4.1498 8.3930 0.8525
5.7739 1.5306 5.4399
6.4924 4.1498 2.2937
8.3930 0.8121 2.2937
9.1116 3.4312 5.4399
0.2887 6.1638 4.0194
1.2019 9.6349 0.8732
3.7599 5.2506 0.8732
4.6731 8.7217 4.0194
5.2506 1.2019 2.2731
6.1638 4.6731 5.4193
8.7217 0.2887 5.4193
9.6349 3.7599 2.2731

***

- The highest density of states at the Fermi level belongs to which entry?
  NdSm4Sn4